Entry 1:
This record from Alexandria describes CuAgP2 after structural relaxation. The functional is PBE.

Energy: -4.27 eV per atom
Energy of formation: 0.171 eV/atom
Crystal system: trigonal

a = 7.3751 Å, b = 7.3751 Å, c = 7.3751 Å
α = 24.87°, β = 24.87°, γ = 24.87°
Closest atoms and distances in Å follow each position.
Atoms (fractional coordinates):
Ag  0.5005  0.5005  0.5005  3 Cu 2.75, 3 P 2.80
Cu  0.7385  0.7385  0.7385  3 P 2.46, 3 Ag 2.75
P  0.9954  0.9954  0.9954  3 P 2.28, 3 Cu 2.46
P  0.2657  0.2657  0.2657  3 P 2.28

Entry 2:
This record from Alexandria describes CuAgP2 after structural relaxation. The functional is PBE.

Energy: -3.87 eV per atom
Energy of formation: 0.573 eV/atom
Crystal system: cubic

a = 4.4538 Å, b = 4.4538 Å, c = 4.4538 Å
α = 60.00°, β = 60.00°, γ = 60.00°
Closest atoms and distances in Å follow each position.
Atoms (fractional coordinates):
Ag  0.5000  0.5000  0.5000  4 Cu 2.73, 4 P 2.73
Cu  0.7500  0.7500  0.7500  4 P 2.73, 4 Ag 2.73
P  0.0000  0.0000  0.0000  4 Cu 2.73, 4 P 2.73
P  0.2500  0.2500  0.2500  4 Ag 2.73, 4 P 2.73

Entry 3:
This record from Alexandria describes CuAg2P after structural relaxation. The functional is PBE.

Energy: -3.55 eV per atom
Energy of formation: 0.250 eV/atom
Crystal system: tetragonal

a = 4.8819 Å, b = 4.8819 Å, c = 4.8819 Å
α = 131.68°, β = 131.68°, γ = 70.74°
Closest atoms and distances in Å follow each position.
Atoms (fractional coordinates):
Ag  0.0000  0.0000  0.0000  4 Ag 2.82, 4 P 2.82, 4 Cu 2.83
Ag  0.2500  0.7500  0.5000  4 Cu 2.82, 4 Ag 2.82, 4 P 2.83
Cu  0.5000  0.5000  0.0000  4 P 2.82, 8 Ag 2.82-2.83
P  0.7500  0.2500  0.5000  4 Cu 2.82, 8 Ag 2.82-2.83

Entry 4:
This record from Alexandria describes CuAgP2 after structural relaxation. The functional is PBE.

Energy: -4.21 eV per atom
Energy of formation: 0.236 eV/atom
Crystal system: monoclinic

a = 3.1807 Å, b = 2.6596 Å, c = 7.6679 Å
α = 79.89°, β = 90.00°, γ = 90.00°
Closest atoms and distances in Å follow each position.
Atoms (fractional coordinates):
Ag  0.0000  0.6785  0.5179  2 Ag 2.66, 4 Cu 2.76-2.77, 2 P 2.77
Cu  0.5000  0.0575  0.7602  2 P 2.43, 2 Cu 2.66
P  0.0000  0.9362  0.0043  2 P 2.26, 2 Cu 2.43
P  0.5000  0.8278  0.2176  2 P 2.26

Entry 5:
This record from Alexandria describes CuAgP2 after structural relaxation. The functional is PBE.

Energy: -4.14 eV per atom
Energy of formation: 0.304 eV/atom
Crystal system: trigonal

a = 7.7666 Å, b = 7.7666 Å, c = 7.7666 Å
α = 22.74°, β = 22.74°, γ = 22.74°
Closest atoms and distances in Å follow each position.
Atoms (fractional coordinates):
Ag  0.2500  0.2500  0.2500  6 P 2.75, 6 Ag 3.06
Cu  0.7500  0.7500  0.7500  6 P 2.44
P  0.0095  0.0095  0.0095  3 Cu 2.44
P  0.4905  0.4905  0.4905  3 Cu 2.44

Entry 6:
This record from Alexandria describes CuAgP2 after structural relaxation. The functional is PBE.

Energy: -3.97 eV per atom
Energy of formation: 0.476 eV/atom
Crystal system: tetragonal

a = 4.9621 Å, b = 4.9621 Å, c = 4.9621 Å
α = 134.31°, β = 134.31°, γ = 66.60°
Closest atoms and distances in Å follow each position.
Atoms (fractional coordinates):
Ag  0.5000  0.5000  0.0000  8 P 2.72-2.83, 4 Cu 2.83
Cu  0.7500  0.2500  0.5000  8 P 2.72-2.83, 4 Ag 2.83
P  0.0000  0.0000  0.0000  4 Ag 2.72, 4 P 2.83, 4 Cu 2.83
P  0.2500  0.7500  0.5000  4 Cu 2.72, 4 Ag 2.83, 4 P 2.83

Entry 7:
This record from Alexandria describes CuAg2P after structural relaxation. The functional is PBE.

Energy: -3.50 eV per atom
Energy of formation: 0.304 eV/atom
Crystal system: cubic

a = 4.4992 Å, b = 4.4992 Å, c = 4.4992 Å
α = 60.00°, β = 60.00°, γ = 60.00°
Closest atoms and distances in Å follow each position.
Atoms (fractional coordinates):
Ag  0.0000  0.0000  0.0000  4 P 2.76, 4 Ag 2.76
Ag  0.2500  0.2500  0.2500  4 Ag 2.76, 4 Cu 2.76
Cu  0.5000  0.5000  0.5000  4 P 2.76, 4 Ag 2.76
P  0.7500  0.7500  0.7500  4 Cu 2.76, 4 Ag 2.76

Entry 8:
This record from Alexandria describes CuAg2P after structural relaxation. The functional is PBE.

Energy: -3.54 eV per atom
Energy of formation: 0.263 eV/atom
Crystal system: orthorhombic

a = 2.9678 Å, b = 3.7816 Å, c = 5.6548 Å
α = 90.00°, β = 90.00°, γ = 90.00°
Closest atoms and distances in Å follow each position.
Atoms (fractional coordinates):
Ag  0.0000  0.0000  0.0034  4 Cu 2.78, 4 Ag 2.79-2.97, 4 P 2.80
Ag  0.0000  0.0000  0.4966  4 Cu 2.78, 4 Ag 2.79-2.97, 4 P 2.80
Cu  0.5000  0.5000  0.2500  8 Ag 2.78, 2 P 2.83, 2 Cu 2.97
P  0.5000  0.5000  0.7500  8 Ag 2.80, 2 Cu 2.83, 2 P 2.97